# Y2ZrSb

A relaxed Y2ZrSb crystal (PBE, OQMD via LeMat-Bulk).

a b c (Å): 5.232 5.232 5.232
angles (deg): 60.00 60.00 60.00
Each line ends with the local moment (μB).
Fractional positions:
Zr 0.250 0.250 0.250  0.30
Sb 0.500 0.500 0.500  -0.02
Y 0.000 0.000 0.000  0.32
Y 0.750 0.750 0.750  0.05

Summary:
Total moment: 0.98 Bohr magnetons per cell
SG: No. 216

***

# YZrSb

A relaxed YZrSb crystal (PBE, OQMD via LeMat-Bulk).

a b c (Å): 4.314 4.314 8.236
angles (deg): 90.00 90.00 90.00
Fractional positions:
Sb 0.500 0.000 0.763
Sb 0.000 0.500 0.237
Zr 0.000 0.000 0.500
Zr 0.500 0.500 0.500
Y 0.500 0.000 0.147
Y 0.000 0.500 0.853

Summary:
Total moment: 0.02 Bohr magnetons per cell
SG: No. 129

***

# YZrSb

A relaxed YZrSb crystal (PBE, OQMD via LeMat-Bulk).

a b c (Å): 8.800 8.800 8.800
angles (deg): 152.14 152.14 39.80
Fractional positions:
Zr 0.680 0.680 0.000
Zr 0.320 0.320 0.000
Y 0.500 0.000 0.500
Y 0.000 0.500 0.500
Sb 0.143 0.143 0.000
Sb 0.857 0.857 0.000

Summary:
Total moment: 0.02 Bohr magnetons per cell
SG: No. 139

***

# Zn2Sb

A relaxed Zn2Sb crystal (PBE, OQMD via LeMat-Bulk).

a b c (Å): 4.975 10.014 4.726
angles (deg): 90.00 90.00 90.00
Fractional positions:
Sb 0.951 0.000 0.000
Sb 0.382 0.000 0.500
Sb 0.451 0.500 0.000
Sb 0.882 0.500 0.500
Zn 0.327 0.696 0.500
Zn 0.827 0.804 0.500
Zn 0.506 0.196 0.000
Zn 0.006 0.696 0.000
Zn 0.506 0.804 0.000
Zn 0.006 0.304 0.000
Zn 0.327 0.304 0.500
Zn 0.827 0.196 0.500

Summary:
SG: No. 63

***

# Zn2Sb

A relaxed Zn2Sb crystal (PBE, OQMD via LeMat-Bulk).

a b c (Å): 13.426 3.386 5.327
angles (deg): 90.00 90.00 90.00
Fractional positions:
Zn 0.020 0.000 0.000
Zn 0.272 0.500 0.500
Zn 0.520 0.500 0.000
Zn 0.772 0.000 0.500
Zn 0.172 0.500 0.000
Zn 0.672 0.000 0.000
Zn 0.924 0.500 0.500
Zn 0.424 0.000 0.500
Sb 0.349 0.000 0.000
Sb 0.849 0.500 0.000
Sb 0.595 0.500 0.500
Sb 0.095 0.000 0.500

Summary:
SG: No. 63

***

# Zn2Sb

A relaxed Zn2Sb crystal (PBE, OQMD via LeMat-Bulk).

a b c (Å): 13.271 8.504 4.728
angles (deg): 90.00 90.00 71.63
Fractional positions:
Sb 0.789 0.761 0.000
Sb 0.214 0.264 0.500
Sb 0.482 0.060 0.500
Sb 0.331 0.441 0.000
Sb 0.980 0.097 0.000
Sb 0.406 0.599 0.500
Sb 0.864 0.920 0.500
Sb 0.712 0.302 0.000
Zn 0.996 0.251 0.500
Zn 0.083 0.608 0.000
Zn 0.111 0.753 0.500
Zn 0.561 0.877 0.000
Zn 0.655 0.776 0.500
Zn 0.247 0.913 0.500
Zn 0.539 0.586 0.000
Zn 0.948 0.448 0.000
Zn 0.172 0.825 0.000
Zn 0.634 0.484 0.500
Zn 0.529 0.215 0.000
Zn 0.198 0.110 0.000
Zn 0.371 0.844 0.000
Zn 0.022 0.536 0.500
Zn 0.666 0.146 0.500
Zn 0.823 0.518 0.500

Summary:
SG: No. 11

***

# Zn5Sb

A relaxed Zn5Sb crystal (PBE, OQMD via LeMat-Bulk).

a b c (Å): 5.272 5.272 4.361
angles (deg): 90.00 90.00 59.98
Fractional positions:
Zn 0.598 0.000 0.500
Zn 0.402 0.598 0.500
Zn 0.667 0.667 0.000
Zn 0.333 0.333 0.000
Zn 0.000 0.402 0.500
Sb 0.000 0.000 0.000

Summary:
SG: No. 189

***

# Zn3Sb

A relaxed Zn3Sb crystal (PBE, OQMD via LeMat-Bulk).

a b c (Å): 5.160 6.384 5.053
angles (deg): 90.00 90.00 113.86
Fractional positions:
Sb 0.055 0.611 0.000
Sb 0.778 0.056 0.500
Zn 0.372 0.245 0.500
Zn 0.520 0.040 0.000
Zn 0.021 0.040 0.000
Zn 0.813 0.626 0.500
Zn 0.313 0.626 0.500
Zn 0.461 0.422 0.000

Summary:
SG: No. 63

***

# Zn12Sb

A relaxed Zn12Sb crystal (PBE, OQMD via LeMat-Bulk).

a b c (Å): 6.839 6.839 6.839
angles (deg): 98.18 98.18 135.68
Fractional positions:
Zn 0.000 0.500 0.000
Zn 0.000 0.000 0.500
Zn 0.280 0.500 0.780
Zn 0.000 0.354 0.354
Zn 0.500 0.000 0.000
Zn 0.000 0.646 0.646
Zn 0.500 0.500 0.500
Zn 0.500 0.280 0.780
Zn 0.354 0.000 0.354
Zn 0.500 0.720 0.220
Zn 0.720 0.500 0.220
Zn 0.646 0.000 0.646
Sb 0.000 0.000 0.000

Summary:
SG: No. 139

***

# Zn2Sb

A relaxed Zn2Sb crystal (PBE, OQMD via LeMat-Bulk).

a b c (Å): 5.687 5.688 4.272
angles (deg): 90.00 90.00 60.00
Fractional positions:
Zn 0.378 0.667 0.500
Zn 0.955 0.378 0.500
Zn 0.667 0.955 0.500
Zn 0.667 0.667 0.000
Sb 0.333 0.333 0.000
Sb 0.000 0.000 0.000

Summary:
SG: No. 189

***

# Zn2Sb

A relaxed Zn2Sb crystal (PBE, OQMD via LeMat-Bulk).

a b c (Å): 17.546 3.170 4.267
angles (deg): 90.00 90.00 90.00
Fractional positions:
Sb 0.292 0.500 0.500
Sb 0.652 0.000 0.000
Sb 0.792 0.000 0.500
Sb 0.152 0.500 0.000
Zn 0.864 0.500 0.000
Zn 0.580 0.500 0.500
Zn 0.364 0.000 0.000
Zn 0.080 0.000 0.500
Zn 0.490 0.500 0.000
Zn 0.954 0.500 0.500
Zn 0.990 0.000 0.000
Zn 0.454 0.000 0.500

Summary:
SG: No. 63

***

# Zn2Sb

A relaxed Zn2Sb crystal (PBE, OQMD via LeMat-Bulk).

a b c (Å): 4.496 10.326 5.107
angles (deg): 90.00 90.00 90.00
Fractional positions:
Zn 0.259 0.333 0.500
Zn 0.488 0.459 0.000
Zn 0.987 0.333 0.000
Zn 0.345 0.707 0.500
Zn 0.846 0.833 0.500
Zn 0.574 0.833 0.000
Zn 0.488 0.207 0.000
Zn 0.345 0.959 0.500
Sb 0.076 0.012 0.000
Sb 0.757 0.512 0.500
Sb 0.757 0.155 0.500
Sb 0.076 0.655 0.000

Summary:
SG: No. 59

***

# Zn6Sb5

A relaxed Zn6Sb5 crystal (PBE, OQMD via LeMat-Bulk).

a b c (Å): 8.181 8.181 8.181
angles (deg): 95.16 95.16 95.16
Fractional positions:
Sb 0.880 0.880 0.880
Sb 0.750 0.370 0.130
Sb 0.250 0.630 0.870
Sb 0.630 0.870 0.250
Sb 0.370 0.130 0.750
Sb 0.120 0.120 0.120
Sb 0.870 0.250 0.630
Sb 0.620 0.620 0.620
Sb 0.380 0.380 0.380
Sb 0.130 0.750 0.370
Zn 0.381 0.376 0.004
Zn 0.504 0.876 0.881
Zn 0.624 0.996 0.619
Zn 0.119 0.496 0.124
Zn 0.004 0.381 0.376
Zn 0.124 0.119 0.496
Zn 0.881 0.504 0.876
Zn 0.496 0.124 0.119
Zn 0.876 0.881 0.504
Zn 0.376 0.004 0.381
Zn 0.996 0.619 0.624
Zn 0.619 0.624 0.996

Summary:
Energy above the lowest structure with this stoichiometry: 0.1822 eV/atom
SG: No. 167

***

# Zn6Sb5

A relaxed Zn6Sb5 crystal (PBE, OQMD via LeMat-Bulk).

a b c (Å): 8.197 8.197 8.191
angles (deg): 97.17 97.17 97.06
Fractional positions:
Sb 0.135 0.635 0.135
Sb 0.607 0.393 0.250
Sb 0.635 0.135 0.635
Sb 0.750 0.893 0.106
Sb 0.365 0.865 0.365
Sb 0.865 0.365 0.865
Sb 0.393 0.607 0.750
Sb 0.250 0.107 0.894
Sb 0.893 0.750 0.606
Sb 0.107 0.250 0.394
Zn 0.017 0.841 0.935
Zn 0.159 0.983 0.565
Zn 0.841 0.017 0.435
Zn 0.517 0.936 0.841
Zn 0.064 0.483 0.659
Zn 0.483 0.064 0.159
Zn 0.983 0.159 0.065
Zn 0.341 0.436 0.017
Zn 0.436 0.341 0.517
Zn 0.564 0.659 0.483
Zn 0.936 0.517 0.341
Zn 0.659 0.564 0.983

Summary:
Energy above the lowest structure with this stoichiometry: 0.0000 eV/atom
SG: No. 15

***

# Zr2ZnSb

A relaxed Zr2ZnSb crystal (PBE, OQMD via LeMat-Bulk).

a b c (Å): 4.932 4.932 4.932
angles (deg): 60.00 60.00 60.00
Each line ends with the local moment (μB).
Fractional positions:
Zr 0.750 0.750 0.750  0.32
Zr 0.000 0.000 0.000  0.48
Zn 0.250 0.250 0.250  -0.01
Sb 0.500 0.500 0.500  -0.04

Summary:
Total moment: 1.05 Bohr magnetons per cell
SG: No. 216

***

# ZrSb

A relaxed ZrSb crystal (PBE, OQMD via LeMat-Bulk).

a b c (Å): 4.624 4.624 4.624
angles (deg): 60.00 60.00 60.00
Fractional positions:
Sb 0.000 0.000 0.000
Zr 0.250 0.250 0.250

Summary:
Total moment: 0.00 Bohr magnetons per cell
SG: No. 216

***

# ZrSb

A relaxed ZrSb crystal (PBE, OQMD via LeMat-Bulk).

a b c (Å): 5.301 8.651 5.306
angles (deg): 90.00 90.00 72.16
Fractional positions:
Sb 0.999 0.169 0.500
Sb 0.680 0.800 0.000
Sb 0.878 0.410 0.000
Sb 0.369 0.431 0.500
Sb 0.488 0.190 0.000
Zr 0.573 0.022 0.500
Zr 0.074 0.017 0.000
Zr 0.291 0.583 0.000
Zr 0.185 0.800 0.500
Zr 0.795 0.578 0.500

Summary:
Total moment: 0.00 Bohr magnetons per cell
SG: No. 38

***

# ZrSb

A relaxed ZrSb crystal (PBE, OQMD via LeMat-Bulk).

a b c (Å): 5.432 6.689 5.217
angles (deg): 90.00 90.00 90.00
Fractional positions:
Sb 0.974 0.000 0.000
Sb 0.852 0.721 0.500
Sb 0.371 0.000 0.500
Sb 0.852 0.279 0.500
Zr 0.977 0.500 0.000
Zr 0.354 0.500 0.500
Zr 0.477 0.236 0.000
Zr 0.477 0.764 0.000

Summary:
Total moment: 0.00 Bohr magnetons per cell
SG: No. 25

***

# ZrSb2

A relaxed ZrSb2 crystal (PBE, OQMD via LeMat-Bulk).

a b c (Å): 4.967 4.967 4.967
angles (deg): 60.00 60.00 60.00
Fractional positions:
Zr 0.000 0.000 0.000
Sb 0.750 0.750 0.750
Sb 0.250 0.250 0.250

Summary:
Total moment: 0.01 Bohr magnetons per cell
SG: No. 225

***

# Zr5Sb3

A relaxed Zr5Sb3 crystal (PBE, OQMD via LeMat-Bulk).

a b c (Å): 7.598 8.879 10.841
angles (deg): 90.00 90.00 90.00
Fractional positions:
Zr 0.301 0.444 0.053
Zr 0.699 0.944 0.947
Zr 0.526 0.250 0.503
Zr 0.699 0.556 0.947
Zr 0.181 0.750 0.268
Zr 0.819 0.250 0.732
Zr 0.026 0.750 0.997
Zr 0.674 0.750 0.212
Zr 0.474 0.750 0.497
Zr 0.801 0.944 0.447
Zr 0.974 0.250 0.003
Zr 0.319 0.750 0.768
Zr 0.826 0.750 0.712
Zr 0.199 0.056 0.553
Zr 0.801 0.556 0.447
Zr 0.326 0.250 0.788
Zr 0.174 0.250 0.288
Zr 0.301 0.056 0.053
Zr 0.199 0.444 0.553
Zr 0.681 0.250 0.232
Sb 0.591 0.250 0.973
Sb 0.091 0.750 0.527
Sb 0.435 0.493 0.322
Sb 0.565 0.507 0.678
Sb 0.935 0.507 0.178
Sb 0.935 0.993 0.178
Sb 0.065 0.493 0.822
Sb 0.909 0.250 0.473
Sb 0.435 0.007 0.322
Sb 0.565 0.993 0.678
Sb 0.065 0.007 0.822
Sb 0.409 0.750 0.027

Summary:
Total moment: 0.00 Bohr magnetons per cell
SG: No. 62

***

Total energy? In order: -6.564 -7.211 -6.913 -2.022 -2.087 -2.126 -1.607 -1.876 -1.398 -2.023 -2.087 -2.094 -2.385 -2.567 -5.497 -6.217 -6.796 -6.553 -5.727 -7.567 eV per atom.